Material: YAlSb2
Method: DFT, GGA-PBE
State: optimized geometry

## Properties
Crystal system ... tetragonal
VASP energy ... -4.967 eV per atom

a = 5.623 Å, b = 5.623 Å, c = 5.623 Å
α = 130.79°, β = 130.79°, γ = 72.14°
Element x y z (fractional)
Y (0.250, 0.750, 0.500)
Sb (0.000, 0.000, 0.000)
Sb (0.500, 0.500, 0.000)
Al (0.750, 0.250, 0.500)